First-principles (PBEsol) data for crystalline LiAlOs2 at its relaxed geometry, as listed in the Alexandria database.

```
LiAlOs2
1.0
-0.346 -1.922 -2.160
2.533 -1.251 0.708
-2.897 -3.728 3.780
Os Li Al
2 1 1
direct
0.000 0.000 0.983
0.500 0.500 0.249
0.500 0.500 0.746
0.000 0.000 0.522
```

Formation enthalpy at 0 K = -104 meV per atom